Compound: SiP3C
Source: Alexandria via LeMat-Bulk
Functional: PBE-GGA
Structure: optimized geometry Values from VASP.

```
&SYSTEM
  ibrav = 0, nat = 5, ntyp = 3
/
ATOMIC_SPECIES
Si 28.09 Si.upf
P 30.97 P.upf
C 12.01 C.upf
CELL_PARAMETERS angstrom
4.426 0.000 0.000
0.000 4.426 0.000
0.000 0.000 4.426
ATOMIC_POSITIONS angstrom
Si 0.000 0.000 0.000
P 0.000 0.000 2.213
P 0.000 2.213 0.000
P 2.213 0.000 0.000
C 2.213 2.213 2.213
```

## Properties
Energy relative to the lowest polymorph listed for this composition (meV per atom): 847.1
Energy relative to the elements, uncorrected (meV per atom): 2010
Crystal system: cubic
Space-group type: No. 221
DFT total energy (eV/atom): -4.165
DOS at the Fermi energy (states/eV/f.u.): 3.23

***

Compound: SiPC2
Source: Alexandria via LeMat-Bulk
Functional: PBE-GGA
Structure: optimized geometry Values from VASP.

```
&SYSTEM
  ibrav = 0, nat = 8, ntyp = 3
/
ATOMIC_SPECIES
Si 28.09 Si.upf
P 30.97 P.upf
C 12.01 C.upf
CELL_PARAMETERS angstrom
11.096 0.000 0.000
0.000 2.461 0.000
-0.053 0.000 4.104
ATOMIC_POSITIONS angstrom
Si 0.000 0.000 0.000
Si 5.548 1.230 0.000
P 1.429 0.000 2.312
P 6.976 1.230 2.312
C 3.113 0.000 3.062
C 3.753 1.230 3.294
C 8.661 1.230 3.062
C 9.300 0.000 3.294
```

## Properties
Energy relative to the lowest polymorph listed for this composition (meV per atom): 46.4
Energy relative to the elements, uncorrected (meV per atom): 352
Crystal system: monoclinic
Space-group type: No. 8
DFT total energy (eV/atom): -6.969
DOS at the Fermi energy (states/eV/f.u.): 1.02

***

Compound: Si2PC
Source: Alexandria via LeMat-Bulk
Functional: PBE-GGA
Structure: optimized geometry Values from VASP.

```
&SYSTEM
  ibrav = 0, nat = 8, ntyp = 3
/
ATOMIC_SPECIES
Si 28.09 Si.upf
P 30.97 P.upf
C 12.01 C.upf
CELL_PARAMETERS angstrom
5.657 0.000 0.000
0.000 3.271 0.000
-1.916 0.000 6.478
ATOMIC_POSITIONS angstrom
Si 0.000 0.000 0.000
Si -0.012 0.000 2.544
Si 2.829 1.636 0.000
Si 2.817 1.636 2.544
P 0.930 1.636 3.708
P 3.758 0.000 3.708
C -0.975 1.636 6.386
C 1.854 0.000 6.386
```

## Properties
Energy relative to the lowest polymorph listed for this composition (meV per atom): 188.8
Energy relative to the elements, uncorrected (meV per atom): 309
Crystal system: monoclinic
Space-group type: No. 8
DFT total energy (eV/atom): -6.061
DOS at the Fermi energy (states/eV/f.u.): 0.81

***

Compound: SiPC2
Source: Alexandria via LeMat-Bulk
Functional: PBE-GGA
Structure: optimized geometry Values from VASP.

```
&SYSTEM
  ibrav = 0, nat = 16, ntyp = 3
/
ATOMIC_SPECIES
Si 28.09 Si.upf
P 30.97 P.upf
C 12.01 C.upf
CELL_PARAMETERS angstrom
4.318 0.000 0.000
0.000 4.318 0.000
0.000 0.000 8.591
ATOMIC_POSITIONS angstrom
Si 0.000 0.000 0.000
Si 0.000 2.159 2.148
Si 2.159 0.000 6.443
Si 2.159 2.159 4.295
P 0.000 0.000 4.295
P 0.000 2.159 6.443
P 2.159 0.000 2.148
P 2.159 2.159 0.000
C 1.018 1.080 5.369
C 1.080 3.177 7.517
C 1.080 3.300 3.221
C 1.141 1.080 1.074
C 3.177 3.239 1.074
C 3.239 1.018 3.221
C 3.239 1.141 7.517
C 3.300 3.239 5.369
```

## Properties
Energy relative to the lowest polymorph listed for this composition (meV per atom): 25.0
Energy relative to the elements, uncorrected (meV per atom): 330
Crystal system: tetragonal
Space-group type: No. 122
DFT total energy (eV/atom): -6.990
DOS at the Fermi energy (states/eV/f.u.): 1.10